1.
The following is a PBE calculation of a relaxed structure of PmNd3S, from Alexandria.

POSCAR file:
```
PmNd3S
1.0
5.520 0.000 0.000
0.000 5.520 0.000
0.000 0.000 5.520
Pm S Nd
1 1 3
Cartesian
2.760 2.760 2.760 Pm
0.000 0.000 0.000 S
0.000 0.000 2.760 Nd
0.000 2.760 0.000 Nd
2.760 0.000 0.000 Nd
```

N(E_F), states/eV per atom: 1.165
Formation energy from raw total energies, eV/f.u.: -3.4
Total energy, eV/atom: -5.309
Crystal system: cubic
Volume, A^3/atom: 33.6

***

2.
The following is a PBE calculation of a relaxed structure of NaSn5Hg3, from Alexandria.

POSCAR file:
```
NaSn5Hg3
1.0
8.300 0.825 0.854
3.065 7.757 0.854
4.186 3.161 9.566
Hg Sn Na
6 10 2
Cartesian
11.681 8.820 8.539 Hg
3.871 2.923 2.736 Hg
6.714 5.069 6.567 Hg
0.000 0.000 0.000 Hg
2.093 1.580 4.783 Hg
8.837 6.673 4.708 Hg
6.587 4.974 9.657 Sn
6.592 3.087 0.854 Sn
6.058 4.575 3.777 Sn
6.569 7.748 8.120 Sn
9.493 7.168 7.498 Sn
8.982 3.994 3.155 Sn
8.964 6.769 1.618 Sn
4.773 5.495 0.854 Sn
6.301 7.546 3.155 Sn
9.251 4.197 8.120 Sn
11.282 8.519 4.966 Na
4.269 3.224 6.308 Na
```

Energy of formation from the pure elements, eV/atom: 0.074
N(E_F), states/eV per atom: 0.471
Total energy, eV/atom: -2.397
Crystal system: monoclinic
Volume, A^3/atom: 30.7

***

Among the records above, which one has the highest N(E_F)?
PmNd3S

***

Please write out number 2 again, unchanged.
The following is a PBE calculation of a relaxed structure of NaSn5Hg3, from Alexandria.

POSCAR file:
```
NaSn5Hg3
1.0
8.300 0.825 0.854
3.065 7.757 0.854
4.186 3.161 9.566
Hg Sn Na
6 10 2
Cartesian
11.681 8.820 8.539 Hg
3.871 2.923 2.736 Hg
6.714 5.069 6.567 Hg
0.000 0.000 0.000 Hg
2.093 1.580 4.783 Hg
8.837 6.673 4.708 Hg
6.587 4.974 9.657 Sn
6.592 3.087 0.854 Sn
6.058 4.575 3.777 Sn
6.569 7.748 8.120 Sn
9.493 7.168 7.498 Sn
8.982 3.994 3.155 Sn
8.964 6.769 1.618 Sn
4.773 5.495 0.854 Sn
6.301 7.546 3.155 Sn
9.251 4.197 8.120 Sn
11.282 8.519 4.966 Na
4.269 3.224 6.308 Na
```

Energy of formation from the pure elements, eV/atom: 0.074
N(E_F), states/eV per atom: 0.471
Total energy, eV/atom: -2.397
Crystal system: monoclinic
Volume, A^3/atom: 30.7

***

The lowest total energy belongs to which entry?
PmNd3S